Record 1
Nb2V3W | Alexandria via LeMat-Bulk | PBE | relaxed; E_form = -0.08 eV per atom; V = 15.9 Å³ per atom; calculated total energy = -0.74673 Ry/atom; crystal system = trigonal; total moment = 0.00 μB/f.u.; energy above the lowest structure with this stoichiometry = 0.0 kJ/mol of formula units
1.0
-1.417 -4.622 1.668
4.909 1.412 0.247
-1.342 4.198 2.652
Nb V W
2 3 1
direct
0.751 0.375 0.126
0.249 0.625 0.874
0.500 0.500 0.500
0.000 0.000 0.500
0.500 0.000 0.500
0.000 0.000 0.000

---

Record 2
Nb2VW2 | Alexandria via LeMat-Bulk | PBE | relaxed; E_form = 0.45 eV per atom; V = 17.9 Å³ per atom; calculated total energy = -0.77763 Ry/atom; crystal system = monoclinic; total moment = 0.00 μB/f.u.; energy above the lowest structure with this stoichiometry = 0.0 kJ/mol of formula units
1.0
-4.980 -1.609 1.118
-2.639 -2.757 -3.751
-0.095 -3.802 0.851
Nb V W
2 1 2
direct
0.701 0.201 0.800
0.299 0.799 0.200
0.000 0.500 0.000
0.262 0.238 0.500
0.738 0.762 0.500

---

Record 3
NbVW2 | Alexandria via LeMat-Bulk | PBE | relaxed; E_form = -0.04 eV per atom; V = 16.0 Å³ per atom; calculated total energy = -0.83164 Ry/atom; crystal system = triclinic; total moment = 0.00 μB/f.u.; energy above the lowest structure with this stoichiometry = 3.0 kJ/mol of formula units
1.0
4.111 -0.091 -1.813
-0.237 5.442 -0.775
-1.952 -0.986 6.746
Nb V W
2 2 4
direct
0.500 0.750 0.000
0.500 0.250 0.000
0.000 0.750 0.500
0.000 0.250 0.500
0.256 0.504 0.256
0.744 0.496 0.744
0.744 0.996 0.744
0.256 0.004 0.256

---

Record 4
NbV6W2 | Alexandria via LeMat-Bulk | PBE | relaxed; E_form = 0.00 eV per atom; V = 14.7 Å³ per atom; calculated total energy = -0.74096 Ry/atom; crystal system = triclinic; total moment = 0.00 μB/f.u.; energy above the lowest structure with this stoichiometry = 0.0 kJ/mol of formula units
1.0
2.657 -0.189 -0.517
-0.551 6.679 -0.301
-1.259 -0.799 7.780
Nb V W
1 6 2
direct
0.000 0.000 0.000
0.671 0.340 0.221
0.992 0.999 0.664
0.329 0.660 0.779
0.671 0.343 0.891
0.008 0.001 0.336
0.329 0.657 0.109
0.335 0.670 0.443
0.665 0.330 0.557